# 1
## EuTlBi (PBE-GGA)

Data for a geometry-optimized EuTlBi structure.

a = 4.217 Å, b = 4.217 Å, c = 6.234 Å
α = 109.77°, β = 109.77°, γ = 90.00°
Each line ends with the local moment (μB).
Atoms (fractional coordinates):
Tl1 0.603 0.603 0.207  0.04
Bi1 0.962 0.962 0.924  -0.07
Eu1 0.285 0.285 0.569  6.94

Its energy relative to the elements is -0.397 eV/atom. The crystal system is tetragonal. As for the offset from the most stable computed form: 69 meV per atom. As for the uncorrected energy: -17.712 eV/cell. The calculation puts the theoretical density at 9.6 g/cm³.

=====

# 2
## EuTlBi (PBE-GGA)

Data for a geometry-optimized EuTlBi structure.

a = 5.559 Å, b = 5.559 Å, c = 5.559 Å
α = 60.00°, β = 60.00°, γ = 60.00°
Each line ends with the local moment (μB).
Atoms (fractional coordinates):
Eu1 0.500 0.500 0.500  -6.91
Tl1 0.000 0.000 0.000  -0.01
Bi1 0.250 0.250 0.250  0.05

Its energy relative to the elements is -0.363 eV/atom. The crystal system is cubic. As for the offset from the most stable computed form: 102 meV per atom. As for the uncorrected energy: -17.611 eV/cell. The calculation puts the theoretical density at 7.7 g/cm³.